First-principles (PBE+U) data for a relaxed BeNiO crystal, as listed in Alexandria.

final energy	-4.73	eV/atom
Fermi-level density of states	0.1264	states/eV/atom

Unit cell a=10.619 b=2.571 c=4.443 alpha=90.00 beta=97.14 gamma=90.00
Fractional coordinates of all 12 atoms:
Be1 0.000 0.000 0.000
Be2 0.069 0.000 0.475
Be3 0.500 0.500 0.000
Be4 0.569 0.500 0.475
Ni1 0.269 0.500 0.871
Ni2 0.341 0.000 0.413
Ni3 0.769 0.000 0.871
Ni4 0.841 0.500 0.413
O1 0.030 0.500 0.267
O2 0.109 0.000 0.805
O3 0.530 0.000 0.267
O4 0.609 0.500 0.805